Here is a relaxed SmHfPa crystal from OQMD. Energies are from PBE.

Cell and atoms, written as POSCAR:
```
SmHfPa
1.0
0.000 3.565 3.565
3.565 0.000 3.565
3.565 3.565 0.000
Hf Pa Sm
1 1 1
Cartesian
0.000 0.000 0.000
1.782 1.782 1.782
5.347 5.347 5.347
```

relative energy among the computed polymorphs: 0.00 eV/f.u.
formation energy: 0.917 eV/atom
size of the total moment: 0.012 μB/atom
raw total energy: -7.137 eV/atom



Here is a relaxed HfPaTa crystal from OQMD. Energies are from PBE.

Cell and atoms, written as POSCAR:
```
HfPaTa
1.0
0.000 3.347 3.347
3.347 0.000 3.347
3.347 3.347 0.000
Hf Pa Ta
1 1 1
Cartesian
0.000 0.000 0.000
1.673 1.673 1.673
5.020 5.020 5.020
```

relative energy among the computed polymorphs: 0.00 eV/f.u.
formation energy: 0.831 eV/atom
size of the total moment: 0.000 μB/atom
raw total energy: -9.603 eV/atom



Here is a relaxed HfPaTa crystal from OQMD. Energies are from PBE.

Cell and atoms, written as POSCAR:
```
HfPaTa
1.0
0.000 3.349 3.349
3.349 0.000 3.349
3.349 3.349 0.000
Hf Pa Ta
1 1 1
Cartesian
1.675 1.675 1.675
0.000 0.000 0.000
5.024 5.024 5.024
```

relative energy among the computed polymorphs: 1.23 eV/f.u.
formation energy: 1.240 eV/atom
size of the total moment: 0.164 μB/atom
raw total energy: -9.194 eV/atom